## one
Entry from Alexandria via LeMat-Bulk: a relaxed structure of BaMoPS2 (PBE).

abc: 5.706 5.706 5.846
angles: 90.00 90.00 90.00
Site moments in Bohr magnetons follow the coordinates.
Positions (direct):
Mo (0.500, 0.500, 0.500)  3.91
S (0.000, 0.500, 0.000)  -0.33
S (0.500, 0.000, 0.000)  -0.33
P (0.000, 0.000, 0.500)  -0.71
Ba (0.000, 0.000, 0.000)  -0.02

**DOS at the Fermi energy**: 4.835 states/eV per cell


## two
Entry from Alexandria via LeMat-Bulk: a relaxed structure of BaMoPS2 (PBE).

abc: 4.881 4.881 4.738
angles: 90.00 90.00 90.00
Positions (direct):
Ba (0.500, 0.500, 0.500)
S (0.500, 0.000, 0.000)
S (0.000, 0.500, 0.000)
Mo (0.000, 0.000, 0.000)
P (0.000, 0.000, 0.500)

**DOS at the Fermi energy**: 3.699 states/eV per cell


Least stable: one


## one
Entry from Alexandria via LeMat-Bulk: a relaxed structure of Ba2MoPd (PBE).

abc: 8.820 8.820 7.094
angles: 51.57 51.57 90.00
Site moments in Bohr magnetons follow the coordinates.
Positions (direct):
Pd (0.750, 0.250, 0.500)  0.04
Mo (0.500, 0.500, 0.000)  3.14
Mo (0.250, 0.750, 0.500)  3.15
Ba (0.375, 0.344, 0.750)  0.00
Ba (0.875, 0.906, 0.750)  0.00
Ba (0.094, 0.625, 0.250)  -0.01
Ba (0.656, 0.125, 0.250)  -0.01
Pd (0.000, 0.000, 0.000)  0.04

**DOS at the Fermi energy**: 4.478 states/eV per cell


## two
Entry from Alexandria via LeMat-Bulk: a relaxed structure of Ba2MoPd (PBE).

abc: 5.660 5.660 5.660
angles: 60.00 60.00 60.00
Site moments in Bohr magnetons follow the coordinates.
Positions (direct):
Mo (0.000, 0.000, 0.000)  3.15
Ba (0.750, 0.750, 0.750)  0.04
Ba (0.250, 0.250, 0.250)  0.04
Pd (0.500, 0.500, 0.500)  0.17

**DOS at the Fermi energy**: 4.542 states/eV per cell


Least stable: one


## one
Entry from Alexandria via LeMat-Bulk: a relaxed structure of BaMoPd (PBE).

abc: 12.527 5.116 4.681
angles: 90.00 90.00 90.00
Positions (direct):
Mo (0.000, 0.500, 0.000)
Ba (0.793, 0.750, 0.500)
Mo (0.000, 0.000, 0.000)
Ba (0.707, 0.250, 0.000)
Pd (0.945, 0.250, 0.500)
Mo (0.500, 0.500, 0.500)
Mo (0.500, 0.000, 0.500)
Ba (0.293, 0.750, 0.000)
Ba (0.207, 0.250, 0.500)
Pd (0.555, 0.750, 0.000)
Pd (0.055, 0.750, 0.500)
Pd (0.445, 0.250, 0.000)

**DOS at the Fermi energy**: 11.744 states/eV per cell


## two
Entry from Alexandria via LeMat-Bulk: a relaxed structure of BaMoPd (PBE).

abc: 9.746 4.206 4.558
angles: 89.99 62.18 90.86
Positions (direct):
Ba (0.786, 0.109, 0.694)
Pd (0.102, 0.569, 0.379)
Ba (0.433, 0.593, 0.549)
Mo (0.972, 0.632, 0.009)
Mo (0.127, 0.098, 0.854)
Pd (0.315, 0.080, 0.166)

**DOS at the Fermi energy**: 5.073 states/eV per cell


Least stable: two


## one
Entry from Alexandria via LeMat-Bulk: a relaxed structure of BaMoPd (PBE).

abc: 5.623 4.656 11.233
angles: 90.00 90.00 90.00
Positions (direct):
Mo (0.435, 0.750, 0.317)
Ba (0.072, 0.750, 0.628)
Pd (0.931, 0.250, 0.055)
Ba (0.572, 0.750, 0.872)
Ba (0.428, 0.250, 0.128)
Pd (0.431, 0.250, 0.445)
Ba (0.928, 0.250, 0.372)
Pd (0.069, 0.750, 0.945)
Mo (0.935, 0.750, 0.183)
Pd (0.569, 0.750, 0.555)
Mo (0.065, 0.250, 0.817)
Mo (0.565, 0.250, 0.683)

**DOS at the Fermi energy**: 14.806 states/eV per cell


## two
Entry from Alexandria via LeMat-Bulk: a relaxed structure of BaMoPd (PBE).

abc: 7.053 6.238 4.413
angles: 89.15 126.66 80.87
Positions (direct):
Mo (0.021, 0.881, 0.560)
Ba (0.165, 0.327, 0.177)
Pd (0.323, 0.808, 0.341)
Ba (0.649, 0.478, 0.162)
Mo (0.793, 0.924, 0.779)
Pd (0.491, 0.996, 0.998)

**DOS at the Fermi energy**: 6.675 states/eV per cell


## three
Entry from Alexandria via LeMat-Bulk: a relaxed structure of BaMoPd (PBE).

abc: 6.677 3.866 8.099
angles: 90.08 125.77 106.74
Positions (direct):
Pd (0.832, 0.302, 0.881)
Mo (0.944, 0.857, 0.698)
Ba (0.251, 0.512, 0.482)
Ba (0.540, 0.654, 0.047)
Mo (0.694, 0.232, 0.487)
Pd (0.204, 0.988, 0.136)

**DOS at the Fermi energy**: 7.308 states/eV per cell


Least stable: one


## one
Entry from Alexandria via LeMat-Bulk: a relaxed structure of BaMoPd2 (PBE).

abc: 5.024 5.024 5.024
angles: 60.00 60.00 60.00
Site moments in Bohr magnetons follow the coordinates.
Positions (direct):
Pd (0.750, 0.750, 0.750)  0.13
Mo (0.000, 0.000, 0.000)  2.92
Ba (0.500, 0.500, 0.500)  0.04
Pd (0.250, 0.250, 0.250)  0.13

**DOS at the Fermi energy**: 2.509 states/eV per cell


## two
Entry from Alexandria via LeMat-Bulk: a relaxed structure of BaMoPd2 (PBE).

abc: 5.357 5.357 9.074
angles: 72.83 72.83 90.00
Site moments in Bohr magnetons follow the coordinates.
Positions (direct):
Ba (0.000, 0.000, 0.000)  0.00
Pd (0.374, 0.125, 0.250)  0.00
Pd (0.376, 0.625, 0.250)  0.00
Pd (0.875, 0.624, 0.750)  0.00
Mo (0.500, 0.500, 0.000)  0.10
Ba (0.750, 0.250, 0.500)  0.00
Mo (0.250, 0.750, 0.500)  0.10
Pd (0.375, 0.626, 0.750)  0.00

**DOS at the Fermi energy**: 6.695 states/eV per cell


Least stable: one


## one
Entry from Alexandria via LeMat-Bulk: a relaxed structure of BaMoPt (PBE).

abc: 4.963 4.963 4.963
angles: 60.00 60.00 60.00
Site moments in Bohr magnetons follow the coordinates.
Positions (direct):
Ba (0.750, 0.750, 0.750)  0.10
Pt (0.500, 0.500, 0.500)  0.07
Mo (0.000, 0.000, 0.000)  3.13

**DOS at the Fermi energy**: 2.157 states/eV per cell


## two
Entry from Alexandria via LeMat-Bulk: a relaxed structure of BaMoPt (PBE).

abc: 7.521 4.590 9.028
angles: 90.00 90.00 90.00
Positions (direct):
Mo (0.467, 0.250, 0.061)
Mo (0.967, 0.250, 0.439)
Pt (0.224, 0.750, 0.811)
Ba (0.421, 0.250, 0.651)
Pt (0.776, 0.250, 0.189)
Pt (0.276, 0.250, 0.311)
Ba (0.921, 0.250, 0.849)
Ba (0.579, 0.750, 0.349)
Ba (0.079, 0.750, 0.151)
Mo (0.533, 0.750, 0.939)
Pt (0.724, 0.750, 0.689)
Mo (0.033, 0.750, 0.561)

**DOS at the Fermi energy**: 0.903 states/eV per cell


Least stable: one


## one
Entry from Alexandria via LeMat-Bulk: a relaxed structure of BaMoPt (PBE).

abc: 4.309 4.309 5.333
angles: 90.00 90.00 120.00
Positions (direct):
Pt (0.333, 0.667, 0.500)
Mo (0.667, 0.333, 0.500)
Ba (0.000, 0.000, 0.000)

**DOS at the Fermi energy**: 2.494 states/eV per cell


## two
Entry from Alexandria via LeMat-Bulk: a relaxed structure of BaMoPt (PBE).

abc: 5.067 8.045 5.067
angles: 106.73 93.25 107.79
Site moments in Bohr magnetons follow the coordinates.
Positions (direct):
Ba (0.206, 0.113, 0.408)  0.04
Pt (0.106, 0.820, 0.779)  0.04
Mo (0.689, 0.031, 0.843)  1.00
Ba (0.921, 0.531, 0.112)  0.01
Pt (0.542, 0.820, 0.215)  0.04
Mo (0.569, 0.733, 0.665)  -0.23

**DOS at the Fermi energy**: 4.806 states/eV per cell


## three
Entry from Alexandria via LeMat-Bulk: a relaxed structure of BaMoPt (PBE).

abc: 4.987 4.987 4.987
angles: 60.00 60.00 60.00
Site moments in Bohr magnetons follow the coordinates.
Positions (direct):
Mo (0.250, 0.250, 0.250)  3.09
Ba (0.750, 0.750, 0.750)  0.06
Pt (0.500, 0.500, 0.500)  0.21

**DOS at the Fermi energy**: 1.038 states/eV per cell


## four
Entry from Alexandria via LeMat-Bulk: a relaxed structure of BaMoPt (PBE).

abc: 5.459 4.567 6.417
angles: 110.84 89.74 90.02
Positions (direct):
Ba (0.986, 0.887, 0.768)
Pt (0.760, 0.169, 0.332)
Mo (0.260, 0.160, 0.313)
Ba (0.496, 0.440, 0.874)
Pt (0.480, 0.704, 0.402)
Mo (0.987, 0.632, 0.257)

**DOS at the Fermi energy**: 6.571 states/eV per cell


Least stable: three


## one
Entry from Alexandria via LeMat-Bulk: a relaxed structure of BaMo2Pt (PBE).

abc: 2.879 2.879 9.802
angles: 90.00 90.00 90.00
Positions (direct):
Mo (0.000, 0.000, 0.449)
Mo (0.000, 0.000, 0.051)
Pt (0.500, 0.500, 0.250)
Ba (0.500, 0.500, 0.750)

**DOS at the Fermi energy**: 5.339 states/eV per cell


## two
Entry from Alexandria via LeMat-Bulk: a relaxed structure of BaMo2Pt (PBE).

abc: 3.496 3.496 7.611
angles: 90.00 90.00 90.00
Positions (direct):
Mo (0.000, 0.000, 0.098)
Mo (0.000, 0.000, 0.402)
Pt (0.500, 0.500, 0.250)
Ba (0.500, 0.500, 0.750)

**DOS at the Fermi energy**: 6.130 states/eV per cell


## three
Entry from Alexandria via LeMat-Bulk: a relaxed structure of BaMo2Pt (PBE).

abc: 6.425 6.425 6.425
angles: 154.32 131.65 55.54
Positions (direct):
Mo (0.961, 0.961, 0.000)
Pt (0.750, 0.250, 0.500)
Mo (0.539, 0.539, 0.000)
Ba (0.250, 0.750, 0.500)

**DOS at the Fermi energy**: 4.681 states/eV per cell


## four
Entry from Alexandria via LeMat-Bulk: a relaxed structure of BaMo2Pt (PBE).

abc: 4.753 4.753 4.753
angles: 60.00 60.00 60.00
Positions (direct):
Mo (0.750, 0.750, 0.750)
Ba (0.000, 0.000, 0.000)
Mo (0.250, 0.250, 0.250)
Pt (0.500, 0.500, 0.500)

**DOS at the Fermi energy**: 4.087 states/eV per cell


Least stable: four